Below is YScAu3 after structural relaxation, with properties calculated at the PBE level.

Results
Energy of formation in eV per formula unit: -0.62
Theoretical density in g/cm3: 9.41
Spin magnetization in μB/cell: 0.000
Density of states at the Fermi level in states/eV/f.u.: 3.5

```
data_YScAu3
_space_group_name_H-M_alt 'P m -3 m'
_space_group_IT_number 221
_space_group_name_Hall '-P 4 2 3'
_cell_length_a 5.0376
_cell_length_b 5.0376
_cell_length_c 5.0376
_cell_angle_alpha 90.00
_cell_angle_beta 90.00
_cell_angle_gamma 90.00
loop_
_atom_site_label
_atom_site_fract_x
_atom_site_fract_y
_atom_site_fract_z
_atom_site_occupancy
Y1 0.0000 0.0000 0.0000 1
Sc1 0.5000 0.5000 0.5000 1
Au1 0.0000 0.5000 0.5000 1
```

Below is Li4Os after structural relaxation, with properties calculated at the PBE level.

Results
Energy of formation in eV per formula unit: 4.49
Theoretical density in g/cm3: 3.25
Spin magnetization in μB/cell: 0.769
Density of states at the Fermi level in states/eV/f.u.: 4.5

```
data_Li4Os
_space_group_name_H-M_alt 'P m -3 m'
_space_group_IT_number 221
_space_group_name_Hall '-P 4 2 3'
_cell_length_a 4.8106
_cell_length_b 4.8106
_cell_length_c 4.8106
_cell_angle_alpha 90.00
_cell_angle_beta 90.00
_cell_angle_gamma 90.00
loop_
_atom_site_label
_atom_site_fract_x
_atom_site_fract_y
_atom_site_fract_z
_atom_site_occupancy
Li1 0.0000 0.0000 0.0000 1
Li2 0.0000 0.5000 0.5000 1
Os1 0.5000 0.5000 0.5000 1
```

Below is Co2Pd9Au after structural relaxation, with properties calculated at the PBE level.

Results
Energy of formation in eV per formula unit: 0.27
Theoretical density in g/cm3: 11.75
Spin magnetization in μB/cell: 5.937
Density of states at the Fermi level in states/eV/f.u.: 19.2

```
data_Co2Pd9Au
_space_group_name_H-M_alt 'P 4/m m m'
_space_group_IT_number 123
_space_group_name_Hall '-P 4 2'
_cell_length_a 3.9154
_cell_length_b 3.9154
_cell_length_c 11.7307
_cell_angle_alpha 90.00
_cell_angle_beta 90.00
_cell_angle_gamma 90.00
loop_
_atom_site_label
_atom_site_fract_x
_atom_site_fract_y
_atom_site_fract_z
_atom_site_occupancy
Co1 0.0000 0.0000 0.1655 1
Pd1 0.0000 0.5000 0.0000 1
Pd2 0.0000 0.5000 0.3228 1
Pd3 0.5000 0.5000 0.1611 1
Pd4 0.5000 0.5000 0.5000 1
Au1 0.0000 0.0000 0.5000 1
```

Below is ThScCo2H6 after structural relaxation, with properties calculated at the PBE level.

Results
E in eV/atom: -5.242
Theoretical density in g/cm3: 7.35
Spin magnetization in μB/cell: 2.633
Density of states at the Fermi level in states/eV/f.u.: 2.5

```
data_ThScCo2H6
_space_group_name_H-M_alt 'R -3 m'
_space_group_IT_number 166
_space_group_name_Hall '-R 3 2"'
_cell_length_a 4.4244
_cell_length_b 4.4244
_cell_length_c 16.0187
_cell_angle_alpha 90.00
_cell_angle_beta 90.00
_cell_angle_gamma 120.00
loop_
_atom_site_label
_atom_site_fract_x
_atom_site_fract_y
_atom_site_fract_z
_atom_site_occupancy
Th1 0.0000 0.0000 0.0000 1
Sc1 0.0000 0.0000 0.5000 1
Co1 0.0000 0.0000 0.2115 1
H1 0.0045 0.5023 0.0641 1
```

Below is AgSb3N after structural relaxation, with properties calculated at the PBE level.

Results
Theoretical density in g/cm3: 5.45
Spin magnetization in μB/cell: 0.000
Formation energy from raw total energies in eV per atom: 1.84
Density of states at the Fermi level in states/eV/f.u.: 8.6

```
data_AgSb3N
_space_group_name_H-M_alt 'P m -3 m'
_space_group_IT_number 221
_space_group_name_Hall '-P 4 2 3'
_cell_length_a 5.2951
_cell_length_b 5.2951
_cell_length_c 5.2951
_cell_angle_alpha 90.00
_cell_angle_beta 90.00
_cell_angle_gamma 90.00
loop_
_atom_site_label
_atom_site_fract_x
_atom_site_fract_y
_atom_site_fract_z
_atom_site_occupancy
Ag1 0.0000 0.0000 0.0000 1
Sb1 0.0000 0.0000 0.5000 1
N1 0.5000 0.5000 0.5000 1
```

Below is Pm7Y4Mg after structural relaxation, with properties calculated at the PBE level.

Results
Energy of formation in eV per formula unit: 0.21
Theoretical density in g/cm3: 5.85
Spin magnetization in μB/cell: 0.000
Density of states at the Fermi level in states/eV/f.u.: 14.7

```
data_Pm7Y4Mg
_space_group_name_H-M_alt 'P -3 m 1'
_space_group_IT_number 164
_space_group_name_Hall '-P 3 2"'
_cell_length_a 3.6145
_cell_length_b 3.6145
_cell_length_c 34.9782
_cell_angle_alpha 90.00
_cell_angle_beta 90.00
_cell_angle_gamma 120.00
loop_
_atom_site_label
_atom_site_fract_x
_atom_site_fract_y
_atom_site_fract_z
_atom_site_occupancy
Pm1 0.0000 0.0000 0.0000 1
Pm2 0.0000 0.0000 0.2533 1
Pm3 0.3333 0.6667 0.1679 1
Pm4 0.3333 0.6667 0.4212 1
Y1 0.3333 0.6667 0.6622 1
Y2 0.3333 0.6667 0.9162 1
Mg1 0.0000 0.0000 0.5000 1
```

Below is RbRe after structural relaxation, with properties calculated at the PBE level.

Results
Energy of formation in eV per formula unit: 1.43
Theoretical density in g/cm3: 4.73
Spin magnetization in μB/cell: 0.000
Density of states at the Fermi level in states/eV/f.u.: 1.3

```
data_RbRe
_space_group_name_H-M_alt 'P 4/m'
_space_group_IT_number 83
_cell_length_a 12.8102
_cell_length_b 12.8102
_cell_length_c 4.6512
_cell_angle_alpha 90.00
_cell_angle_beta 90.00
_cell_angle_gamma 90.00
loop_
_space_group_symop_operation_xyz
'x,y,z'
'-x,-y,-z'
'-y,x,z'
'y,-x,-z'
'-x,-y,z'
'x,y,-z'
'y,-x,z'
'-y,x,-z'
loop_
_atom_site_label
_atom_site_fract_x
_atom_site_fract_y
_atom_site_fract_z
_atom_site_occupancy
Rb1 0.0939 0.3574 0.0000 1
Rb2 0.2028 0.6733 0.5000 1
Re1 0.0129 0.1385 0.5000 1
Re2 0.0652 0.8772 0.0000 1
```

Below is CaDyCd17 after structural relaxation, with properties calculated at the PBE level.

Results
Energy of formation in eV per formula unit: -2.21
Theoretical density in g/cm3: 7.90
Spin magnetization in μB/cell: 0.000
Density of states at the Fermi level in states/eV/f.u.: 7.3

```
data_CaDyCd17
_space_group_name_H-M_alt 'R 3 m'
_space_group_IT_number 160
_space_group_name_Hall 'R 3 -2"'
_cell_length_a 10.0890
_cell_length_b 10.0890
_cell_length_c 15.1103
_cell_angle_alpha 90.00
_cell_angle_beta 90.00
_cell_angle_gamma 120.00
loop_
_atom_site_label
_atom_site_fract_x
_atom_site_fract_y
_atom_site_fract_z
_atom_site_occupancy
Ca1 0.0000 0.0000 0.0000 1
Dy1 0.0000 0.0000 0.3409 1
Cd1 0.0000 0.0000 0.5626 1
Cd2 0.0000 0.0000 0.7570 1
Cd3 0.0309 0.3626 0.3338 1
Cd4 0.1777 0.3553 0.1442 1
Cd5 0.1829 0.3657 0.5065 1
Cd6 0.1972 0.3945 0.8494 1
```